[1]
# meta-GGA SCAN HgPIrS2, single point on PBEsol structure
# - Raw total energy: -1.168 Ha/atom
# - Volume: 108.2 Å³/cell
data_HgPIrS2
_symmetry_space_group_name_H-M 'P 4/m m m'
_symmetry_Int_Tables_number 123
_symmetry_space_group_name_Hall '-P 4 2'
_cell_length_a 4.758
_cell_length_b 4.758
_cell_length_c 4.779
_cell_angle_alpha 90.00
_cell_angle_beta 90.00
_cell_angle_gamma 90.00
loop_
_atom_site_label
_atom_site_type_symbol
_atom_site_fract_x
_atom_site_fract_y
_atom_site_fract_z
Hg1 Hg 0.000 0.000 0.000
P1 P 0.000 0.000 0.500
Ir1 Ir 0.500 0.500 0.500
S1 S 0.000 0.500 0.000

---

[2]
# meta-GGA SCAN YGaHg2Bi, single point on PBEsol structure
# - Formation energy: 0.321 eV/atom
# - Volume: 187.2 Å³/cell
data_YGaHg2Bi
_symmetry_space_group_name_H-M 'P 4/m m m'
_symmetry_Int_Tables_number 123
_symmetry_space_group_name_Hall '-P 4 2'
_cell_length_a 5.684
_cell_length_b 5.684
_cell_length_c 5.796
_cell_angle_alpha 90.00
_cell_angle_beta 90.00
_cell_angle_gamma 90.00
loop_
_atom_site_label
_atom_site_type_symbol
_atom_site_fract_x
_atom_site_fract_y
_atom_site_fract_z
Y1 Y 0.000 0.000 0.000
Ga1 Ga 0.500 0.500 0.500
Hg1 Hg 0.000 0.500 0.000
Bi1 Bi 0.000 0.000 0.500

---

[3]
# meta-GGA SCAN LaRe2Tc2, single point on PBEsol structure
# - Formation energy: -0.063 eV/atom
# - Volume: 191.4 Å³/cell
data_LaRe2Tc2
_symmetry_space_group_name_H-M 'I 4/m m m'
_symmetry_Int_Tables_number 139
_symmetry_space_group_name_Hall '-I 4 2'
_cell_length_a 4.313
_cell_length_b 4.313
_cell_length_c 10.291
_cell_angle_alpha 90.00
_cell_angle_beta 90.00
_cell_angle_gamma 90.00
loop_
_atom_site_label
_atom_site_type_symbol
_atom_site_fract_x
_atom_site_fract_y
_atom_site_fract_z
La1 La 0.000 0.000 0.000
Re1 Re 0.000 0.000 0.374
Tc1 Tc 0.000 0.500 0.250

---

[4]
# meta-GGA SCAN ScCoH2Pd, single point on PBEsol structure
# - Raw total energy: -0.513 Ha/atom
# - Volume: 62.7 Å³/cell
data_ScCoH2Pd
_symmetry_space_group_name_H-M 'P 4/m m m'
_symmetry_Int_Tables_number 123
_symmetry_space_group_name_Hall '-P 4 2'
_cell_length_a 3.544
_cell_length_b 3.544
_cell_length_c 4.993
_cell_angle_alpha 90.00
_cell_angle_beta 90.00
_cell_angle_gamma 90.00
loop_
_atom_site_label
_atom_site_type_symbol
_atom_site_fract_x
_atom_site_fract_y
_atom_site_fract_z
Sc1 Sc 0.000 0.000 0.000
Co1 Co 0.000 0.000 0.500
H1 H 0.000 0.500 0.000
Pd1 Pd 0.500 0.500 0.500

---

[5]
# meta-GGA SCAN AgSbTe2As, single point on PBEsol structure
# - Raw total energy: -1.174 Ha/atom
# - Volume: 151.0 Å³/cell
data_AgSbTe2As
_symmetry_space_group_name_H-M 'P 4/m m m'
_symmetry_Int_Tables_number 123
_symmetry_space_group_name_Hall '-P 4 2'
_cell_length_a 5.293
_cell_length_b 5.293
_cell_length_c 5.388
_cell_angle_alpha 90.00
_cell_angle_beta 90.00
_cell_angle_gamma 90.00
loop_
_atom_site_label
_atom_site_type_symbol
_atom_site_fract_x
_atom_site_fract_y
_atom_site_fract_z
Ag1 Ag 0.000 0.000 0.000
Sb1 Sb 0.500 0.500 0.000
Te1 Te 0.000 0.500 0.500
As1 As 0.500 0.500 0.500

---

[6]
# meta-GGA SCAN K4Na2TeO6, single point on PBEsol structure
# - Raw total energy: -0.389 Ha/atom
# - Volume: 400.4 Å³/cell
data_K4Na2TeO6
_symmetry_space_group_name_H-M 'P 1 21/c 1'
_symmetry_Int_Tables_number 14
_cell_length_a 6.631
_cell_length_b 9.944
_cell_length_c 7.232
_cell_angle_alpha 90.00
_cell_angle_beta 122.90
_cell_angle_gamma 90.00
loop_
_symmetry_equiv_pos_as_xyz
'x,y,z'
'-x,-y,-z'
'-x,y+1/2,-z+1/2'
'x,-y+1/2,z+1/2'
loop_
_atom_site_label
_atom_site_type_symbol
_atom_site_fract_x
_atom_site_fract_y
_atom_site_fract_z
K1 K 0.003 0.177 0.484
K2 K 0.184 0.516 0.754
Na1 Na 0.485 0.238 0.282
Te1 Te 0.500 0.000 0.000
O1 O 0.244 0.628 0.448
O2 O 0.278 0.152 0.935
O3 O 0.385 0.509 0.185